The following is a DFT calculation (PBE) of a relaxed structure of Ac5InSe4.

Cell and atoms, written as POSCAR:
```
Ac5InSe4
1.0
6.4198 0.0000 0.0000
3.2010 7.2158 0.0000
3.2084 0.0036 7.2199
Ac In Se
5 1 4
Direct
0.0000 0.0000 0.0000 Ac
0.1952 0.4065 0.2031 Ac
0.3982 0.7969 0.4065 Ac
0.6018 0.2031 0.5935 Ac
0.8048 0.5935 0.7969 Ac
0.5000 0.0000 0.0000 In
0.1023 0.1992 0.5964 Se
0.3014 0.5964 0.8009 Se
0.6986 0.4036 0.1991 Se
0.8977 0.8008 0.4036 Se
```

Space-group type: P-1
DFT total energy (eV per atom): -5.29

The following is a DFT calculation (PBE) of a relaxed structure of SrPmAs2Rh2.

Cell and atoms, written as POSCAR:
```
SrPmAs2Rh2
1.0
4.2382 0.0000 0.0000
-2.1191 3.6704 0.0000
0.0000 0.0000 8.6259
Sr Pm As Rh
1 1 2 2
Direct
0.0000 0.0000 0.0000 Sr
0.0000 0.0000 0.5000 Pm
0.3333 0.6667 0.2628 As
0.6667 0.3333 0.7372 As
0.3333 0.6667 0.7326 Rh
0.6667 0.3333 0.2674 Rh
```

ΔH_f (0 K) (meV per atom): -948.5
Space-group type: P-3m1
DFT total energy (eV per atom): -6.02

For the records above, the corresponding spin magnetization values read 0.00 0.00 μB per atom.
For the records above, the corresponding mass density values read 7.77 7.28 g/cm³.